Record 1
VASP calculation (PBE) on K2ZrTc after structural relaxation.

ΔH_f (0 K): 1332.6 meV per atom
DFT total energy: -3.945 eV per atom
E above lowest polymorph: 824 meV/atom

Geometry as extended XYZ:
```
4
Lattice="5.1864 0.0013 0.0000 -0.0093 5.1864 0.0000 -2.5885 -2.5938 3.6702" Properties=species:S:1:pos:R:3 pbc="T T T"
Zr 2.5932 0.0006 1.8351
Tc 2.5885 2.5938 0.0000
K 0.0000 0.0000 0.0000
K -0.0047 2.5932 1.8351
```

---

Record 2
VASP calculation (PBE) on K2ZrTc after structural relaxation.

ΔH_f (0 K): 1110.7 meV per atom
DFT total energy: -4.167 eV per atom
E above lowest polymorph: 602 meV/atom

Geometry as extended XYZ:
```
4
Lattice="-0.5774 -5.4013 4.3572 4.4593 -2.7421 4.5922 -2.9527 5.8094 -2.4546" Properties=species:S:1:pos:R:3 pbc="T T T"
Tc 1.7238 -0.5022 3.3061
K 0.0000 0.0000 0.0000
K 1.9410 -4.0717 4.4747
Zr -0.7945 -1.8318 3.1886
```

---

Record 3
VASP calculation (PBE) on KZrTc2 after structural relaxation.

ΔH_f (0 K): 1262.6 meV per atom
DFT total energy: -6.332 eV per atom
E above lowest polymorph: 775 meV/atom

Geometry as extended XYZ:
```
4
Lattice="-2.9165 -1.4402 3.5112 -3.4773 -3.1573 -0.9212 0.3138 -4.4668 1.6907" Properties=species:S:1:pos:R:3 pbc="T T T"
Zr -3.0400 -4.5322 2.1404
K 0.0000 0.0000 0.0000
Tc -1.5200 -2.2661 1.0702
Tc -4.5601 -6.7983 3.2106
```

---

Record 4
VASP calculation (PBE) on K2ZrTc after structural relaxation.

ΔH_f (0 K): 816.0 meV per atom
DFT total energy: -4.461 eV per atom
E above lowest polymorph: 307 meV/atom

Geometry as extended XYZ:
```
4
Lattice="7.2817 0.0041 -0.0089 3.5272 6.3704 0.0089 -4.2932 -5.0715 2.9785" Properties=species:S:1:pos:R:3 pbc="T T T"
K 3.7329 -1.2134 1.4848
K 0.1130 0.0666 0.0000
Zr 3.0960 2.7011 1.4937
Tc 4.9783 2.9359 0.0000
```

---

Record 5
VASP calculation (PBE) on KZrTc2 after structural relaxation.

ΔH_f (0 K): 1258.7 meV per atom
DFT total energy: -6.336 eV per atom
E above lowest polymorph: 771 meV/atom

Geometry as extended XYZ:
```
4
Lattice="3.2360 0.0000 0.0000 0.0000 4.8553 0.0000 0.0000 0.0000 4.7990" Properties=species:S:1:pos:R:3 pbc="T T T"
K 0.0000 2.4277 2.3995
Zr 1.6180 0.0000 2.3995
Tc 1.6180 2.4277 0.0000
Tc 0.0000 0.0000 0.0000
```

---

Record 6
VASP calculation (PBE) on KZrTc2 after structural relaxation.

ΔH_f (0 K): 509.7 meV per atom
DFT total energy: -7.085 eV per atom
E above lowest polymorph: 22 meV/atom

Geometry as extended XYZ:
```
4
Lattice="-0.7132 -2.0335 3.2984 0.5448 -2.5754 -1.4700 8.6143 -1.3419 1.0353" Properties=species:S:1:pos:R:3 pbc="T T T"
Tc 1.6209 -1.9435 1.5054
Tc 1.4167 -2.5473 -1.2641
K 6.8528 -4.0527 1.3363
Zr 3.6798 -1.9414 -0.4012
```

---

Record 7
VASP calculation (PBE) on KZrTc2 after structural relaxation.

ΔH_f (0 K): 835.1 meV per atom
DFT total energy: -6.759 eV per atom
E above lowest polymorph: 347 meV/atom

Geometry as extended XYZ:
```
4
Lattice="-3.6942 2.6349 2.3343 -4.8060 0.1288 1.7102 2.1673 -2.5596 6.4179" Properties=species:S:1:pos:R:3 pbc="T T T"
Zr -4.7496 0.1531 7.8468
Tc -2.9060 -0.1779 5.8916
Tc 1.9070 -2.2796 5.7574
K -1.5832 0.0510 2.6156
```

---

Record 8
VASP calculation (PBE) on KZrTc2 after structural relaxation.

ΔH_f (0 K): 1108.0 meV per atom
DFT total energy: -6.486 eV per atom
E above lowest polymorph: 620 meV/atom

Geometry as extended XYZ:
```
4
Lattice="-3.6735 -0.6933 -4.3159 -1.5297 -5.3622 -1.2288 0.0727 4.2989 3.7573" Properties=species:S:1:pos:R:3 pbc="T T T"
Tc -2.7012 -3.1437 -2.8785
Tc -5.1036 -5.9395 -5.4386
K -2.0293 -2.0455 -0.1220
Zr -3.1012 0.2889 -1.6655
```